Y4SbAuC: relaxed, PBE.

Output
raw formation energy = -0.70 eV/atom
volume = 25.17 Å³ per atom

Lattice parameters (Å, degrees): 8.3111 8.3111 6.8016 90.00 90.00 131.41
Closest atoms and distances in Å follow each position.
Fractional coordinates of all 14 atoms:
Y: 0.0000 0.5000 0.0000  2 C 2.41
Y: 0.0000 0.5000 0.5000  2 C 2.41
Y: 0.0762 0.9238 0.7500  1 C 2.63, 1 Au 2.93
Y: 0.4105 0.5895 0.7500  1 C 2.43
Y: 0.5000 0.0000 0.0000  2 C 2.41
Y: 0.5000 0.0000 0.5000  2 C 2.41
Y: 0.5895 0.4105 0.2500  1 C 2.43
Y: 0.9238 0.0762 0.2500  1 C 2.63, 1 Au 2.93
Sb: 0.3876 0.6124 0.2500  7 Y 3.06-3.42
Sb: 0.6124 0.3876 0.7500  7 Y 3.06-3.42
Au: 0.1176 0.8824 0.2500  5 Y 2.93-3.14
Au: 0.8824 0.1176 0.7500  5 Y 2.93-3.14
C: 0.2499 0.7501 0.7500  6 Y 2.41-2.63
C: 0.7501 0.2499 0.2500  6 Y 2.41-2.63